1.
Computed, not measured: crystalline Ag5P3 at its relaxed geometry at the PBE level of DFT.

Computed properties:
Fermi-level density of states = 6.89 states/eV per cell
E above lowest polymorph = 145 meV/atom
Energy of formation = 0.329 eV per atom

abc: 7.5063 8.6557 4.2520
angles: 90.00 90.00 90.00
With the nearest neighbours (Å) after each atom.
Space group Cmmm (No. 65)
One atom of each set of equivalent atoms:
Ag: 0.0000 0.0000 0.0000 x2  4 P 2.72, 8 Ag 2.86-3.04
Ag: 0.2111 0.5000 0.5000 x4  4 P 2.65-2.75
Ag: 0.2500 0.2500 0.0000 x4  6 Ag 2.86-3.05, 6 P 2.86-2.88
P: 0.0000 0.1951 0.5000 x4  8 Ag 2.72-2.88
P: 0.0000 0.5000 0.0000 x2  8 Ag 2.65-2.86

2.
Computed, not measured: crystalline AgP at its relaxed geometry at the PBE level of DFT.

Computed properties:
Fermi-level density of states = 20.52 states/eV per cell
E above lowest polymorph = 200 meV/atom
Energy of formation = 0.316 eV per atom

abc: 5.6878 9.6565 10.4322
angles: 90.00 90.00 90.00
With the nearest neighbours (Å) after each atom.
Space group Fddd (No. 70, origin choice 2)
One atom of each set of equivalent atoms:
Ag: 0.1250 0.3553 0.1250 x16  6 P 2.64-2.83, 2 Ag 2.87
P: 0.0668 0.3750 0.8750 x16  1 P 2.18

3.
Computed, not measured: crystalline AgP at its relaxed geometry at the PBE level of DFT.

Computed properties:
Fermi-level density of states = 4.03 states/eV per cell
E above lowest polymorph = 138 meV/atom
Energy of formation = 0.254 eV per atom

abc: 3.1858 9.9862 7.4181
angles: 90.00 90.00 90.00
With the nearest neighbours (Å) after each atom.
Space group Pmmn (No. 59, origin choice 2)
One atom of each set of equivalent atoms:
Ag: 0.2500 0.0476 0.1525 x4  3 P 2.48-2.77
Ag: 0.2500 0.7500 0.3045 x2  4 P 2.53-2.54
P: 0.2500 0.2500 0.9597 x2  4 Ag 2.48-2.53
P: 0.2500 0.5678 0.5429 x4  2 P 2.19